Ba2Ag3Se2O2, optimized geometry, DFT GGA-PBE; raw total energy = -0.325 Ry/atom; space-group type = I4/mmm, No. 139; ΔE_f (raw) = -1.16 eV per atom; calculated density = 6.697 g/cm3
1.0
4.372 0.000 0.000
0.000 4.372 0.000
-2.186 -2.186 10.223
Ag O Ba Se
3 2 2 2
Direct
0.000 0.000 0.000
0.750 0.250 0.500
0.250 0.750 0.500
0.500 0.000 0.000
0.000 0.500 0.000
0.412 0.412 0.824
0.588 0.588 0.176
0.835 0.835 0.670
0.165 0.165 0.330

***

KMgIn2W, optimized geometry, DFT GGA-PBE; raw total energy = -0.198 Ry/atom; space-group type = P4/mmm, No. 123; calculated density = 4.783 g/cm3; formation energy = 735 kJ/mol of formula units
1.0
-4.705 1.390 -2.245
-2.633 -4.038 3.018
-0.856 3.536 3.984
K In W Mg
1 2 1 1
Direct
0.000 0.500 0.000
0.000 0.000 0.500
0.500 0.000 0.000
0.500 0.500 0.500
0.000 0.000 0.000

***

ScCo2OsC, optimized geometry, DFT GGA-PBE; raw total energy = -0.618 Ry/atom; space-group type = P4/mmm, No. 123; calculated density = 9.978 g/cm3; formation energy = -102 kJ/mol of formula units
1.0
3.882 0.000 0.000
0.000 3.882 0.000
0.000 0.000 4.032
Sc C Co Os
1 1 2 1
Direct
0.500 0.500 0.500
0.000 0.000 0.000
0.500 0.000 0.000
0.000 0.500 0.000
0.000 0.000 0.500